The following is a PBE calculation of a relaxed structure of Sr2Pd, from Alexandria via LeMat-Bulk.

POSCAR file:
```
Sr2Pd
1.0
2.7108 -2.7121 0.0000
2.7108 2.7121 0.0000
-2.6771 0.0000 7.1330
Sr Pd
2 1
Direct
0.1254 0.1254 0.2507
0.8746 0.8746 0.7493
0.5000 0.5000 0.0000
```

Calculated values
As for the energy relative to the elements: -0.407 eV per atom. The symmetry is C2/m. The calculation puts the theoretical density at 4.5 Mg/m³.


The following is a PBE calculation of a relaxed structure of Ta3GeIr, from Alexandria via LeMat-Bulk.

POSCAR file:
```
Ta3GeIr
1.0
4.6412 0.0000 0.0000
0.0000 4.6412 0.0000
0.0000 0.0000 4.6412
Ta Ge Ir
3 1 1
Direct
0.0000 0.0000 0.5000
0.0000 0.5000 0.0000
0.5000 0.0000 0.0000
0.0000 0.0000 0.0000
0.5000 0.5000 0.5000
```

Calculated values
As for the energy relative to the elements: 1.121 eV per atom. The symmetry is Pm-3m. The calculation puts the theoretical density at 13.4 Mg/m³.


The following is a PBE calculation of a relaxed structure of KBaH2, from Alexandria via LeMat-Bulk.

POSCAR file:
```
KBaH2
1.0
5.0337 0.0000 0.0000
0.0000 5.0337 0.0000
0.0000 0.0000 3.4754
K Ba H
1 1 2
Direct
0.0000 0.0000 0.0000
0.5000 0.5000 0.0000
0.0000 0.5000 0.5000
0.5000 0.0000 0.5000
```

Calculated values
As for the calculated total energy: -2.431 eV per atom. The symmetry is P4/mmm. The calculation puts the theoretical density at 3.4 Mg/m³.


The following is a PBE calculation of a relaxed structure of AlCoTe4, from Alexandria via LeMat-Bulk.

POSCAR file:
```
AlCoTe4
1.0
0.0000 4.4789 4.4789
4.4789 0.0000 4.4789
4.4789 4.4789 0.0000
Al Co Te
1 1 4
Direct
0.0000 0.0000 0.0000
0.7500 0.7500 0.7500
0.3758 0.3758 0.3758
0.3758 0.3758 0.8727
0.3758 0.8727 0.3758
0.8727 0.3758 0.3758
```

Calculated values
As for the calculated total energy: -2.993 eV per atom. The symmetry is F-43m. The calculation puts the theoretical density at 5.5 Mg/m³.


The following is a PBE calculation of a relaxed structure of CaAcPm, from Alexandria via LeMat-Bulk.

POSCAR file:
```
CaAcPm
1.0
3.8695 0.0000 0.0000
0.0000 5.3469 0.0000
-0.0024 0.0000 11.6660
Ca Ac Pm
2 2 2
Direct
0.2495 0.2500 0.0856
0.7505 0.7500 0.9144
0.2508 0.2500 0.7379
0.7492 0.7500 0.2621
0.2496 0.2500 0.4253
0.7504 0.7500 0.5747
```

Calculated values
As for the energy relative to the elements: 0.043 eV per atom. The symmetry is P2_1/m. The calculation puts the theoretical density at 5.7 Mg/m³.


The following is a PBE calculation of a relaxed structure of Ba2TlPtO6, from Alexandria via LeMat-Bulk.

POSCAR file:
```
Ba2TlPtO6
1.0
3.0555 1.7641 10.0397
-3.0555 1.7641 10.0397
0.0000 -3.5282 10.0397
Ba Tl Pt O
4 2 2 12
Direct
0.1290 0.1290 0.1290
0.2757 0.2757 0.2757
0.7243 0.7243 0.7243
0.8710 0.8710 0.8710
0.4035 0.4035 0.4035
0.5965 0.5965 0.5965
0.0000 0.0000 0.0000
0.5000 0.5000 0.5000
0.1508 0.6144 0.6144
0.1868 0.1868 0.7522
0.1868 0.7522 0.1868
0.2478 0.8132 0.8132
0.3856 0.3856 0.8492
0.3856 0.8492 0.3856
0.6144 0.1508 0.6144
0.6144 0.6144 0.1508
0.7522 0.1868 0.1868
0.8132 0.2478 0.8132
0.8132 0.8132 0.2478
0.8492 0.3856 0.3856
```

Calculated values
As for the calculated total energy: -5.592 eV per atom. The symmetry is R-3m. The calculation puts the theoretical density at 7.9 Mg/m³.


The following is a PBE calculation of a relaxed structure of Hf2Ni9H, from Alexandria via LeMat-Bulk.

POSCAR file:
```
Hf2Ni9H
1.0
3.7309 0.0000 0.0000
0.0000 3.7309 0.0000
0.0000 0.0000 10.1974
Hf Ni H
2 9 1
Direct
0.0000 0.0000 0.1846
0.0000 0.0000 0.8154
0.0000 0.5000 0.0000
0.0000 0.5000 0.3638
0.0000 0.5000 0.6362
0.5000 0.0000 0.0000
0.5000 0.0000 0.3638
0.5000 0.0000 0.6362
0.5000 0.5000 0.1803
0.5000 0.5000 0.5000
0.5000 0.5000 0.8197
0.0000 0.0000 0.5000
```

Calculated values
As for the calculated total energy: -6.463 eV per atom. The symmetry is P4/mmm. The calculation puts the theoretical density at 10.4 Mg/m³.


The following is a PBE calculation of a relaxed structure of CaErPS, from Alexandria via LeMat-Bulk.

POSCAR file:
```
CaErPS
1.0
2.0052 1.1577 6.6154
-2.0052 1.1577 6.6154
0.0000 -2.3154 6.6154
Ca Er P S
1 1 1 1
Direct
0.0000 0.0000 0.0000
0.4942 0.4942 0.4942
0.7530 0.7530 0.7530
0.2443 0.2443 0.2443
```

Calculated values
As for the calculated total energy: -5.822 eV per atom. The symmetry is R3m. The calculation puts the theoretical density at 4.9 Mg/m³.


The following is a PBE calculation of a relaxed structure of TbSi7Rh3, from Alexandria via LeMat-Bulk.

POSCAR file:
```
TbSi7Rh3
1.0
3.8180 2.2043 6.6674
-3.8180 2.2043 6.6674
0.0000 -4.4086 6.6674
Tb Si Rh
2 14 6
Direct
0.0000 0.0000 0.0000
0.5000 0.5000 0.5000
0.0656 0.8514 0.6722
0.1486 0.3278 0.9344
0.1722 0.3514 0.5656
0.2500 0.2500 0.2500
0.3278 0.9344 0.1486
0.3514 0.5656 0.1722
0.4344 0.8278 0.6486
0.5656 0.1722 0.3514
0.6486 0.4344 0.8278
0.6722 0.0656 0.8514
0.7500 0.7500 0.7500
0.8278 0.6486 0.4344
0.8514 0.6722 0.0656
0.9344 0.1486 0.3278
0.0693 0.7500 0.4307
0.2500 0.5693 0.9307
0.4307 0.0693 0.7500
0.5693 0.9307 0.2500
0.7500 0.4307 0.0693
0.9307 0.2500 0.5693
```

Calculated values
As for the calculated total energy: -6.566 eV per atom. The symmetry is R-3c. The calculation puts the theoretical density at 6.6 Mg/m³.


The following is a PBE calculation of a relaxed structure of Be2SbP, from Alexandria via LeMat-Bulk.

POSCAR file:
```
Be2SbP
1.0
1.7244 -2.8114 0.0000
1.7244 2.8114 0.0000
0.0000 0.0000 6.8343
Be Sb P
2 1 1
Direct
0.0000 0.0000 0.1852
0.0000 0.0000 0.8148
0.5000 0.5000 0.5000
0.5000 0.5000 0.0000
```

Calculated values
As for the calculated total energy: -3.771 eV per atom. The symmetry is Cmmm. The calculation puts the theoretical density at 4.3 Mg/m³.


The following is a PBE calculation of a relaxed structure of Ca3Br, from Alexandria via LeMat-Bulk.

POSCAR file:
```
Ca3Br
1.0
1.9662 1.1352 10.7235
-1.9662 1.1352 10.7235
0.0000 -2.2704 10.7235
Ca Br
3 1
Direct
0.0000 0.0000 0.0000
0.2368 0.2368 0.2368
0.7632 0.7632 0.7632
0.5000 0.5000 0.5000
```

Calculated values
As for the calculated total energy: -2.588 eV per atom. The symmetry is R-3m. The calculation puts the theoretical density at 2.3 Mg/m³.


The following is a PBE calculation of a relaxed structure of YZnSn, from Alexandria via LeMat-Bulk.

POSCAR file:
```
YZnSn
1.0
4.4379 0.0000 0.0000
-2.2190 3.8433 0.0000
0.0000 0.0000 4.1754
Y Zn Sn
1 1 1
Direct
0.0000 0.0000 0.0000
0.6667 0.3333 0.5887
0.3333 0.6667 0.4727
```

Calculated values
As for the energy relative to the elements: -0.526 eV per atom. The symmetry is P3m1. The calculation puts the theoretical density at 6.4 Mg/m³.


The following is a PBE calculation of a relaxed structure of Cs6TlBr8, from Alexandria via LeMat-Bulk.

POSCAR file:
```
Cs6TlBr8
1.0
10.4914 0.0000 0.0000
-5.2457 9.0858 0.0000
0.0000 0.0000 7.5498
Cs Tl Br
6 1 8
Direct
0.0000 0.3783 0.2215
0.0000 0.6217 0.7785
0.3783 0.0000 0.2215
0.3783 0.3783 0.7785
0.6217 0.0000 0.7785
0.6217 0.6217 0.2215
0.0000 0.0000 0.5000
0.0000 0.2601 0.7033
0.0000 0.7399 0.2967
0.2601 0.0000 0.7033
0.2601 0.2601 0.2967
0.3333 0.6667 0.0000
0.6667 0.3333 0.0000
0.7399 0.0000 0.2967
0.7399 0.7399 0.7033
```

Calculated values
As for the calculated total energy: -2.900 eV per atom. The symmetry is P-31m. The calculation puts the theoretical density at 3.8 Mg/m³.


The following is a PBE calculation of a relaxed structure of Tl2Pt2RhO6, from Alexandria via LeMat-Bulk.

POSCAR file:
```
Tl2Pt2RhO6
1.0
2.7721 -4.7807 0.0000
2.7721 4.7807 0.0000
-1.8879 0.0000 6.6611
Tl Pt Rh O
2 2 1 6
Direct
0.1667 0.8333 0.0000
0.8333 0.1667 0.0000
0.3337 0.6663 0.5000
0.6663 0.3337 0.5000
0.0000 0.0000 0.5000
0.0492 0.3845 0.6468
0.2830 0.2830 0.3549
0.3845 0.0492 0.6468
0.6155 0.9508 0.3532
0.7170 0.7170 0.6451
0.9508 0.6155 0.3532
```

Calculated values
As for the calculated total energy: -5.425 eV per atom. The symmetry is C2/m. The calculation puts the theoretical density at 9.4 Mg/m³.


The following is a PBE calculation of a relaxed structure of Sc5Ru3, from Alexandria via LeMat-Bulk.

POSCAR file:
```
Sc5Ru3
1.0
3.2449 0.0000 0.0000
0.0000 3.2449 0.0000
0.0000 0.0000 14.4530
Sc Ru
5 3
Direct
0.0000 0.0000 0.0000
0.0000 0.0000 0.2140
0.0000 0.0000 0.7860
0.5000 0.5000 0.3942
0.5000 0.5000 0.6058
0.0000 0.0000 0.5000
0.5000 0.5000 0.1156
0.5000 0.5000 0.8844
```

Calculated values
As for the energy relative to the elements: -0.523 eV per atom. The symmetry is P4/mmm. The calculation puts the theoretical density at 5.8 Mg/m³.


The following is a PBE calculation of a relaxed structure of AlTc2Ag, from Alexandria via LeMat-Bulk.

POSCAR file:
```
AlTc2Ag
1.0
2.9474 0.0000 0.0000
0.0000 2.9474 0.0000
0.0000 0.0000 7.0002
Al Tc Ag
1 2 1
Direct
0.0000 0.0000 0.0000
0.5000 0.5000 0.2182
0.5000 0.5000 0.7818
0.0000 0.0000 0.5000
```

Calculated values
As for the energy relative to the elements: 0.267 eV per atom. The symmetry is P4/mmm. The calculation puts the theoretical density at 9.0 Mg/m³.


The following is a PBE calculation of a relaxed structure of PmPrSiNi, from Alexandria via LeMat-Bulk.

POSCAR file:
```
PmPrSiNi
1.0
4.1728 0.0000 0.0000
0.0000 2.2196 5.0187
0.0000 -2.2196 5.0187
Pm Pr Si Ni
1 1 1 1
Direct
0.0000 0.0000 0.0000
0.5000 0.7073 0.7073
0.0000 0.3029 0.3029
0.5000 0.4134 0.4134
```

Calculated values
As for the calculated total energy: -5.722 eV per atom. The symmetry is Amm2. The calculation puts the theoretical density at 6.7 Mg/m³.


The following is a PBE calculation of a relaxed structure of La8Bi5Pb, from Alexandria via LeMat-Bulk.

POSCAR file:
```
La8Bi5Pb
1.0
-4.9414 4.9414 4.9488
4.9414 -4.9414 4.9488
4.9414 4.9414 -4.9488
La Bi Pb
8 5 1
Direct
0.0164 0.6255 0.7496
0.2312 0.4805 0.1066
0.3745 0.1241 0.3909
0.3739 0.1246 0.8934
0.5195 0.6261 0.7507
0.7332 0.9836 0.6091
0.8754 0.7688 0.2493
0.8759 0.2668 0.2504
0.1261 0.2509 0.6259
0.2500 0.7500 0.5000
0.4998 0.8739 0.1248
0.6250 0.5002 0.3741
0.7491 0.3750 0.8752
0.0000 0.0000 0.0000
```

Calculated values
As for the energy relative to the elements: -0.875 eV per atom. The symmetry is I-4. The calculation puts the theoretical density at 8.1 Mg/m³.


The following is a PBE calculation of a relaxed structure of SmEr6Sc12, from Alexandria via LeMat-Bulk.

POSCAR file:
```
SmEr6Sc12
1.0
5.8140 3.3567 4.4734
-5.8140 3.3567 4.4734
0.0000 -6.7135 4.4734
Sm Er Sc
1 6 12
Direct
0.0000 0.0000 0.0000
0.1429 0.2804 0.7492
0.2508 0.8571 0.7196
0.2804 0.7492 0.1429
0.7196 0.2508 0.8571
0.7492 0.1429 0.2804
0.8571 0.7196 0.2508
0.0784 0.3826 0.1384
0.1384 0.0784 0.3826
0.2101 0.5249 0.4684
0.3826 0.1384 0.0784
0.4684 0.2101 0.5249
0.4751 0.5316 0.7899
0.5249 0.4684 0.2101
0.5316 0.7899 0.4751
0.6174 0.8616 0.9216
0.7899 0.4751 0.5316
0.8616 0.9216 0.6174
0.9216 0.6174 0.8616
```

Calculated values
As for the energy relative to the elements: 0.209 eV per atom. The symmetry is R-3. The calculation puts the theoretical density at 5.4 Mg/m³.


The following is a PBE calculation of a relaxed structure of Tb8Er3Tm2, from Alexandria via LeMat-Bulk.

POSCAR file:
```
Tb8Er3Tm2
1.0
9.9710 -3.8015 0.0000
9.9710 3.8015 0.0000
-0.0025 0.0000 5.5880
Tb Er Tm
8 3 2
Direct
0.1019 0.6827 0.9997
0.1693 0.1693 0.5008
0.3173 0.8981 0.0003
0.3673 0.3673 0.5002
0.6327 0.6327 0.4998
0.6827 0.1019 0.9997
0.8307 0.8307 0.4992
0.8981 0.3173 0.0003
0.2147 0.7853 0.5000
0.5000 0.5000 0.0000
0.7853 0.2147 0.5000
0.2591 0.2591 0.0009
0.7409 0.7409 0.9991
```

Calculated values
As for the energy relative to the elements: 0.226 eV per atom. The symmetry is C2/m. The calculation puts the theoretical density at 8.3 Mg/m³.


The following is a PBE calculation of a relaxed structure of Sm3Dy2ScSe6, from Alexandria via LeMat-Bulk.

POSCAR file:
```
Sm3Dy2ScSe6
1.0
8.9426 -2.0343 0.0000
8.9426 2.0343 0.0000
-2.0186 0.0000 7.9985
Sm Dy Sc Se
3 2 1 6
Direct
0.0000 0.0000 0.0000
0.3306 0.3306 0.6643
0.6694 0.6694 0.3357
0.3339 0.3339 0.1675
0.6661 0.6661 0.8325
0.0000 0.0000 0.5000
0.1594 0.1594 0.5859
0.1687 0.1687 0.0784
0.4996 0.4996 0.2657
0.5004 0.5004 0.7343
0.8313 0.8313 0.9216
0.8406 0.8406 0.4141
```

Calculated values
As for the calculated total energy: -5.967 eV per atom. The symmetry is C2/m. The calculation puts the theoretical density at 7.4 Mg/m³.


The following is a PBE calculation of a relaxed structure of SmAsHPd, from Alexandria via LeMat-Bulk.

POSCAR file:
```
SmAsHPd
1.0
4.3609 0.0000 0.0000
-2.1804 3.7766 0.0000
0.0000 0.0000 3.9302
Sm As H Pd
1 1 1 1
Direct
0.0000 0.0000 0.0000
0.3333 0.6667 0.5231
0.6667 0.3333 0.0086
0.6667 0.3333 0.4800
```

Calculated values
As for the calculated total energy: -5.388 eV per atom. The symmetry is P3m1. The calculation puts the theoretical density at 8.5 Mg/m³.


The following is a PBE calculation of a relaxed structure of Hf2Hg, from Alexandria via LeMat-Bulk.

POSCAR file:
```
Hf2Hg
1.0
-1.6669 1.6669 5.8902
1.6669 -1.6669 5.8902
1.6669 1.6669 -5.8902
Hf Hg
2 1
Direct
0.1663 0.1663 0.0000
0.8337 0.8337 0.0000
0.5000 0.5000 0.0000
```

Calculated values
As for the energy relative to the elements: -0.123 eV per atom. The symmetry is I4/mmm. The calculation puts the theoretical density at 14.1 Mg/m³.


The following is a PBE calculation of a relaxed structure of SnHSe2, from Alexandria via LeMat-Bulk.

POSCAR file:
```
SnHSe2
1.0
-2.8664 2.8664 5.5176
2.8664 -2.8664 5.5176
2.8664 2.8664 -5.5176
Sn H Se
2 2 4
Direct
0.0000 0.0000 0.0000
0.7500 0.2500 0.5000
0.2500 0.7500 0.5000
0.5000 0.5000 0.0000
0.2077 0.6250 0.0827
0.3750 0.4577 0.5827
0.5423 0.1250 0.9173
0.8750 0.7923 0.4173
```

Calculated values
As for the calculated total energy: -3.378 eV per atom. The symmetry is I-42d. The calculation puts the theoretical density at 5.1 Mg/m³.


no.,size of the total moment (μB/f.u.)
1,0.0
2,0.0
3,0.1
4,2.4
5,0.0
6,1.1
7,1.6
8,0.0
9,0.0
10,0.0
11,0.6
12,0.0
13,0.0
14,0.0
15,0.0
16,0.0
17,0.0
18,0.0
19,0.1
20,0.0
21,0.0
22,0.0
23,0.0
24,0.0